(1)
PrH | PBEsol | optimized geometry

The total magnetization comes out at 0.0 Bohr magnetons per cell. Its density of states at the Fermi level is 0.27 states/eV per atom. The calculated volume is 77.0 Å³/cell. For the total energy, the calculation gives -18.6 eV for the cell shown. Its crystal system is hexagonal.

Unit cell a=3.8661 b=3.8661 c=5.9468 alpha=90.00 beta=90.00 gamma=120.00
Space group P6_3mc (No. 186)
One atom of each set of equivalent atoms:
Pr 0.3333 0.6667 0.0000
H 0.3333 0.6667 0.3987

(2)
BeNb2MoO | PBEsol | optimized geometry

The total magnetization comes out at 0.0 Bohr magnetons per cell. Its density of states at the Fermi level is 1.00 states/eV per atom. The calculated volume is 92.7 Å³/cell. For the total energy, the calculation gives -34.7 eV for the cell shown. Its crystal system is tetragonal.

Unit cell a=4.734 b=4.734 c=4.138 alpha=90.00 beta=90.00 gamma=90.00
Space group P4/mmm (No. 123)
One atom of each set of equivalent atoms:
Be 0.000 0.000 0.000
Nb 0.000 0.500 0.500
Mo 0.000 0.000 0.500
O 0.500 0.500 0.000

(3)
FeRu2Au | PBEsol | optimized geometry

The total magnetization comes out at 3.5 Bohr magnetons per cell. Its density of states at the Fermi level is 1.57 states/eV per atom. The calculated volume is 56.2 Å³/cell. For the total energy, the calculation gives -31.1 eV for the cell shown. Its crystal system is orthorhombic.

Unit cell a=2.782 b=4.466 c=4.522 alpha=90.00 beta=90.00 gamma=90.00
Space group Pmmm (No. 47)
One atom of each set of equivalent atoms:
Fe 0.000 0.000 0.000
Ru 0.000 0.500 0.500
Ru 0.500 0.000 0.500
Au 0.500 0.500 0.000

(4)
Cd2TeRu | PBEsol | optimized geometry

The total magnetization comes out at 0.0 Bohr magnetons per cell. Its density of states at the Fermi level is 0.84 states/eV per atom. The calculated volume is 75.9 Å³/cell. For the total energy, the calculation gives -14.6 eV for the cell shown. Its crystal system is tetragonal.

Unit cell a=4.057 b=4.057 c=4.614 alpha=90.00 beta=90.00 gamma=90.00
Space group P4/mmm (No. 123)
One atom of each set of equivalent atoms:
Cd 0.000 0.500 0.000
Te 0.000 0.000 0.500
Ru 0.500 0.500 0.500